Entry 1:
Material: PmNdTm5
Method: DFT, PBE-GGA
State: relaxed

abc: 11.548 6.818 12.026
angles: 90.00 108.55 90.00
Space group C2/c (No. 15)
Asymmetric unit:
Pm 0.000 0.024 0.250 (multiplicity 4)
Nd 0.250 0.250 0.000 (multiplicity 4)
Tm 0.000 0.413 0.750 (multiplicity 4)
Tm 0.077 0.281 0.497 (multiplicity 8)
Tm 0.222 0.356 0.255 (multiplicity 8)

## Properties
ΔE to the lowest computed polymorph = 0 meV per atom
mass density = 8.39 g cm⁻³
volume = 898 Å³/cell
DFT total energy = -4.3546 eV/atom
ΔE_f = 0.199 eV/atom

***

Entry 2:
Material: Ti2RhW
Method: DFT, PBE-GGA
State: relaxed

abc: 3.126 3.126 6.331
angles: 90.00 90.00 90.00
Space group P4/mmm (No. 123)
Asymmetric unit:
Ti 0.000 0.000 0.249 (multiplicity 2)
Rh 0.500 0.500 0.500 (multiplicity 1)
W 0.500 0.500 0.000 (multiplicity 1)

## Properties
mass density = 10.27 g cm⁻³
volume = 62 Å³/cell
DFT total energy = -9.4893 eV/atom
ΔE_f = -0.466 eV/atom

***

Entry 3:
Material: Tm2MgSnN4
Method: DFT, PBE-GGA
State: relaxed

abc: 5.587 3.363 5.724
angles: 90.00 108.53 90.00
Space group P2/m (No. 10)
Asymmetric unit:
Tm 0.000 0.000 0.000 (multiplicity 1)
Tm 0.000 0.500 0.500 (multiplicity 1)
Mg 0.500 0.000 0.500 (multiplicity 1)
Sn 0.500 0.500 0.000 (multiplicity 1)
N 0.255 0.500 0.245 (multiplicity 2)
N 0.258 0.000 0.750 (multiplicity 2)

## Properties
mass density = 8.74 g cm⁻³
raw formation energy = -7.9 eV per formula unit
volume = 102 Å³/cell
DFT total energy = -6.9700 eV/atom

***

The highest mass density belongs to which entry? Ti2RhW